This record from the Alexandria database describes an optimized crystal structure of TlCrCd. The functional is PBE.

Values from the calculation:
E above lowest polymorph	0.054	eV per atom
spin magnetization	4.10	Bohr magnetons per cell
SG	P3m1, No. 156
ΔE_f	499	meV per atom

Lattice parameters (Å, degrees): 3.298 3.298 7.151 90.00 90.00 120.00
Last column: magnetic moment on the atom in μB.
Positions (direct):
1 Cd 0.000 0.000 0.022  -0.02
2 Cr 0.333 0.667 0.327  3.67
3 Tl 0.667 0.333 0.652  0.01